Material: KCoAs2
Method: DFT, SCAN
State: single point on PBEsol structure

Output
D(E_F)	2.2	states/eV/cell
ΔE to the lowest computed polymorph	0.204	eV/atom
DFT total energy	-15.966	eV per atom
size of the total moment	2.46	μB/f.u.

Lattice parameters (Å, degrees): 4.229 4.229 4.151 90.00 90.00 90.00
Space group P4/mmm (No. 123)
Inequivalent atoms, fractional coordinates:
K: 0.000 0.000 0.000 (multiplicity 1)
Co: 0.500 0.500 0.000 (multiplicity 1)
As: 0.000 0.500 0.500 (multiplicity 2)